(1)
# CaSnH2Se

A relaxed structure of CaSnH2Se (PBEsol, the Alexandria database).

abc: 3.945 3.945 6.815
angles: 90.00 90.00 90.00
Sites, in units of the cell vectors:
1 H 0.500 0.000 0.000
2 H 0.000 0.500 0.000
3 Sn 0.000 0.000 0.000
4 Se 0.500 0.500 0.500
5 Ca 0.000 0.000 0.500

## Properties
Space-group type: P4/mmm, No. 123



(2)
# Ca2SiH2

A relaxed structure of Ca2SiH2 (PBEsol, the Alexandria database).

abc: 3.469 3.469 7.233
angles: 103.87 103.87 90.00
Sites, in units of the cell vectors:
1 Ca 0.349 0.349 0.699
2 Ca 0.651 0.651 0.301
3 H 0.750 0.250 0.500
4 H 0.250 0.750 0.500
5 Si 0.000 0.000 0.000

## Properties
Space-group type: I4/mmm, No. 139



What are the V values for these records? In order: 106.1 81.9 Å³/cell.
What are the D(E_F) values for these records? In order: 1.526 0.404 states/eV/cell.
What are the final energy values for these records? In order: -3.62 -3.76 eV per atom.